! LaMn2Cu2 (PBE-GGA, relaxed); values from VASP
! Electronic total energy (eV per atom): -6.0047
! ΔH_f (0 K) (eV/f.u.): 1.44
! Spin magnetization (μB per atom): 0.213
! V (Å³/atom): 16.73
&SYSTEM
  ibrav = 0, nat = 5, ntyp = 3
/
ATOMIC_SPECIES
Mn 54.94 Mn.upf
Cu 63.55 Cu.upf
La 138.91 La.upf
CELL_PARAMETERS angstrom
4.183 0.000 0.000
0.000 4.183 0.000
2.091 2.091 4.782
ATOMIC_POSITIONS crystal
Mn 0.399 0.399 0.203
Mn 0.601 0.601 0.797
Cu 0.750 0.250 0.500
Cu 0.250 0.750 0.500
La 0.000 0.000 0.000


! LaMn2Cu (PBE-GGA, relaxed); values from VASP
! Electronic total energy (eV per atom): -6.4174
! ΔH_f (0 K) (eV/f.u.): 1.69
! Spin magnetization (μB per atom): 1.590
! V (Å³/atom): 18.38
&SYSTEM
  ibrav = 0, nat = 4, ntyp = 3
/
ATOMIC_SPECIES
Cu 63.55 Cu.upf
La 138.91 La.upf
Mn 54.94 Mn.upf
CELL_PARAMETERS angstrom
5.201 0.001 0.000
1.914 4.836 0.000
-3.557 -2.419 2.923
ATOMIC_POSITIONS crystal
Cu 0.250 0.750 0.500
La 0.750 0.250 0.500
Mn 0.000 0.000 0.000
Mn 0.500 0.500 0.000


! LaMn2Cu (PBE-GGA, relaxed); values from VASP
! Electronic total energy (eV per atom): -6.4372
! ΔH_f (0 K) (eV/f.u.): 1.61
! Spin magnetization (μB per atom): 1.378
! V (Å³/atom): 17.76
&SYSTEM
  ibrav = 0, nat = 4, ntyp = 3
/
ATOMIC_SPECIES
Cu 63.55 Cu.upf
La 138.91 La.upf
Mn 54.94 Mn.upf
CELL_PARAMETERS angstrom
4.151 0.000 0.000
0.000 4.151 0.000
0.000 0.000 4.122
ATOMIC_POSITIONS crystal
Cu 0.500 0.000 0.500
La 0.000 0.500 0.500
Mn 0.000 0.000 0.000
Mn 0.500 0.500 0.000